No. 1
Material: ZrSbPtI2
Method: DFT, PBE
State: relaxed

Properties
Energy above the most stable polymorph in this dataset = 63 meV/atom
Raw formation energy = 0.6045 eV/atom

Unit cell a=5.497 b=5.497 c=5.815 alpha=90.00 beta=90.00 gamma=90.00
Space group P4/mmm (No. 123)
One atom of each set of equivalent atoms:
Zr  0.000  0.000  0.000 (multiplicity 1)
Sb  0.000  0.000  0.500 (multiplicity 1)
Pt  0.500  0.500  0.500 (multiplicity 1)
I  0.000  0.500  0.000 (multiplicity 2)

=====

No. 2
Material: UTePdAu
Method: DFT, PBE
State: relaxed

Properties
Raw formation energy = -0.2978 eV/atom

Unit cell a=7.030 b=7.030 c=7.030 alpha=90.00 beta=90.00 gamma=90.00
Space group F-43m (No. 216)
One atom of each set of equivalent atoms:
U  0.000  0.000  0.000 (multiplicity 4)
Te  0.250  0.250  0.250 (multiplicity 4)
Pd  0.000  0.000  0.500 (multiplicity 4)
Au  0.250  0.250  0.750 (multiplicity 4)

=====

No. 3
Material: La2TbSm6Ho3
Method: DFT, PBE
State: relaxed

Properties
Formation energy = 21 meV per atom

Unit cell a=6.270 b=10.863 c=11.991 alpha=90.00 beta=100.06 gamma=90.00
Space group C2/m (No. 12)
One atom of each set of equivalent atoms:
La  0.000  0.167  0.000 (multiplicity 4)
Tb  0.000  0.500  0.000 (multiplicity 2)
Sm  0.247  0.500  0.745 (multiplicity 4)
Sm  0.249  0.166  0.745 (multiplicity 8)
Ho  0.000  0.000  0.500 (multiplicity 2)
Ho  0.000  0.334  0.500 (multiplicity 4)

=====

No. 4
Material: BaLi2Sb2
Method: DFT, PBE
State: relaxed

Properties
Energy above the most stable polymorph in this dataset = 0 meV/atom
Raw formation energy = -0.7858 eV/atom

Unit cell a=4.836 b=4.836 c=11.769 alpha=90.00 beta=90.00 gamma=90.00
Space group I4/mmm (No. 139)
One atom of each set of equivalent atoms:
Ba  0.000  0.000  0.000 (multiplicity 2)
Li  0.000  0.500  0.250 (multiplicity 4)
Sb  0.000  0.000  0.376 (multiplicity 4)

=====

No. 5
Material: YInSe3
Method: DFT, PBE
State: relaxed

Properties
Energy above the most stable polymorph in this dataset = 1 meV/atom
Raw formation energy = -1.1923 eV/atom

Unit cell a=7.254 b=4.189 c=10.330 alpha=90.00 beta=103.52 gamma=90.00
Space group Cm (No. 8)
One atom of each set of equivalent atoms:
Y  0.000  0.000  0.000 (multiplicity 2)
In  0.474  0.000  0.424 (multiplicity 2)
Se  0.120  0.500  0.860 (multiplicity 2)
Se  0.179  0.000  0.539 (multiplicity 2)
Se  0.390  0.000  0.169 (multiplicity 2)

=====

No. 6
Material: La4Pr2DyTm
Method: DFT, PBE
State: relaxed

Properties
Formation energy = 15 meV per atom

Unit cell a=5.214 b=5.251 c=10.268 alpha=90.00 beta=90.06 gamma=90.00
Space group P2/m (No. 10)
One atom of each set of equivalent atoms:
La  0.000  0.000  0.250 (multiplicity 2)
La  0.499  0.500  0.249 (multiplicity 2)
Pr  0.000  0.500  0.500 (multiplicity 1)
Pr  0.500  0.000  0.000 (multiplicity 1)
Dy  0.500  0.000  0.500 (multiplicity 1)
Tm  0.000  0.500  0.000 (multiplicity 1)

=====

No. 7
Material: GeBiRh3
Method: DFT, PBE
State: relaxed

Properties
Formation energy = 275 meV per atom
Energy above the most stable polymorph in this dataset = 0 meV/atom

Unit cell a=4.615 b=4.615 c=4.615 alpha=90.00 beta=90.00 gamma=90.00
Space group Pm-3m (No. 221)
One atom of each set of equivalent atoms:
Ge  0.000  0.000  0.000 (multiplicity 1)
Bi  0.500  0.500  0.500 (multiplicity 1)
Rh  0.000  0.000  0.500 (multiplicity 3)

=====

No. 8
Material: TeHW2Se
Method: DFT, PBE
State: relaxed

Unit cell a=4.899 b=4.899 c=3.314 alpha=90.00 beta=90.00 gamma=90.00
Space group P4/mmm (No. 123)
One atom of each set of equivalent atoms:
Te  0.000  0.000  0.000 (multiplicity 1)
H  0.500  0.500  0.000 (multiplicity 1)
W  0.000  0.500  0.500 (multiplicity 2)
Se  0.500  0.500  0.500 (multiplicity 1)

=====

Number 1: calculated total energy -18.8 eV for the cell shown, calculated density 6.25 Mg/m³. Number 2: calculated total energy -96.4 eV for the cell shown, calculated density 12.79 Mg/m³. Number 3: calculated total energy -112.6 eV for the cell shown, calculated density 7.57 Mg/m³. Number 4: calculated total energy -35.8 eV for the cell shown, calculated density 4.76 Mg/m³. Number 5: calculated total energy -51.2 eV for the cell shown, calculated density 4.79 Mg/m³. Number 6: calculated total energy -38.2 eV for the cell shown, calculated density 6.90 Mg/m³. Number 7: calculated total energy -29.2 eV for the cell shown, calculated density 9.98 Mg/m³. Number 8: calculated total energy -30.7 eV for the cell shown, calculated density 12.01 Mg/m³.